[1]
VASP calculation (PBE) on a geometry-optimized CdPb2I structure.

Cell: 3.584 3.584 11.860 Å, 81.31 81.31 60.00°
Element x y z (fractional)
Pb 0.909 0.909 0.272
Cd 0.500 0.500 0.500
Pb 0.091 0.091 0.728
I 0.000 0.000 0.000

Calculated values
Formation energy from raw total energies (meV per atom): 58
Symmetry: R-3m (166)

=====

[2]
VASP calculation (PBE) on a geometry-optimized Cd3PbI8 structure.

Cell: 8.835 8.838 9.034 Å, 118.99 90.00 119.99°
Element x y z (fractional)
Pb 0.000 0.000 0.000
I 0.746 0.492 0.764
I 0.259 0.518 0.774
I 0.741 0.482 0.226
Cd 0.500 0.000 0.000
I 0.274 0.020 0.763
I 0.726 0.980 0.237
Cd 0.000 0.500 0.000
I 0.254 0.508 0.236
I 0.746 0.020 0.763
Cd 0.500 0.500 0.000
I 0.254 0.980 0.237

Calculated values
Formation energy from raw total energies (meV per atom): -579
Symmetry: C2/m (12)

=====

[3]
VASP calculation (PBE) on a geometry-optimized CdPb2I structure.

Cell: 6.611 6.611 9.382 Å, 69.37 69.37 90.00°
Element x y z (fractional)
Cd 0.250 0.750 0.500
I 0.000 0.000 0.000
Cd 0.500 0.500 0.000
Pb 0.171 0.625 0.250
Pb 0.375 0.421 0.750
Pb 0.875 0.829 0.750
Pb 0.579 0.125 0.250
I 0.750 0.250 0.500

Calculated values
Formation energy from raw total energies (meV per atom): 224
Symmetry: I-42d (122)

=====

[4]
VASP calculation (PBE) on a geometry-optimized Cd2PbI structure.

Cell: 4.163 4.163 8.838 Å, 76.38 76.38 60.00°
Element x y z (fractional)
Cd 0.747 0.747 0.760
Pb 0.000 0.000 0.000
I 0.500 0.500 0.500
Cd 0.253 0.253 0.240

Calculated values
Formation energy from raw total energies (meV per atom): -74
Symmetry: R-3m (166)

=====

[5]
VASP calculation (PBE) on a geometry-optimized Cd2PbI structure.

Cell: 4.137 4.137 8.963 Å, 76.66 76.66 60.00°
Element x y z (fractional)
Pb 0.668 0.668 0.997
Cd 0.254 0.254 0.238
Cd 0.080 0.080 0.759
I 0.498 0.498 0.506

Calculated values
Formation energy from raw total energies (meV per atom): -54
Symmetry: R3m (160)

=====

[6]
VASP calculation (PBE) on a geometry-optimized Cd4PbI structure.

Cell: 6.173 6.173 6.173 Å, 60.00 60.00 60.00°
Element x y z (fractional)
Cd 0.625 0.124 0.625
Pb 0.000 0.000 0.000
Cd 0.625 0.625 0.124
I 0.250 0.250 0.250
Cd 0.625 0.625 0.625
Cd 0.124 0.625 0.625

Calculated values
Formation energy from raw total energies (meV per atom): 82
Symmetry: F-43m (216)

=====

[7]
VASP calculation (PBE) on a geometry-optimized CdPbI3 structure.

Cell: 5.871 5.871 5.871 Å, 90.00 90.00 90.00°
Element x y z (fractional)
I 0.500 0.000 0.000
I 0.000 0.500 0.000
I 0.000 0.000 0.500
Pb 0.500 0.500 0.500
Cd 0.000 0.000 0.000

Calculated values
Formation energy from raw total energies (meV per atom): -149
Symmetry: Pm-3m (221)

=====

[8]
VASP calculation (PBE) on a geometry-optimized Cd2PtPbI structure.

Cell: 5.345 5.345 5.388 Å, 90.00 90.00 90.00°
Element x y z (fractional)
Cd 0.500 0.000 0.000
Pt 0.000 0.000 0.000
I 0.500 0.500 0.500
Cd 0.000 0.500 0.000
Pb 0.000 0.000 0.500

Calculated values
Formation energy from raw total energies (meV per atom): -196
Symmetry: P4/mmm (123)

=====

| no. | size of the total moment (μB per cell) |
| --- | --- |
| 1 | 0.00 |
| 2 | 0.00 |
| 3 | 0.00 |
| 4 | 0.00 |
| 5 | 0.00 |
| 6 | 0.00 |
| 7 | 0.71 |
| 8 | 0.00 |